An optimized crystal structure of Tc2MoSe. Source: the Alexandria database, functional GGA-PBEsol.

Cell: 5.1556 5.1556 5.1556 Å, 146.64 129.56 61.83°
Fractional coordinates of all 4 atoms:
Tc1 0.0000 0.0000 0.0000
Tc2 0.7338 0.2338 0.5000
Mo1 0.2801 0.7801 0.5000
Se1 0.5093 0.5093 0.0000

Computed properties:
The final energy is -37.727 eV for the cell shown. As for the spin magnetization: 0.0 μB/f.u. As for the uncorrected formation energy: 0.11 eV per atom. The calculation puts the volume at 14.4 Å³ per atom.

An optimized crystal structure of TcMo2Se. Source: the Alexandria database, functional GGA-PBEsol.

Cell: 8.5674 8.5674 8.5674 Å, 19.44 19.44 19.44°
Fractional coordinates of all 4 atoms:
Tc1 0.0000 0.0000 0.0000
Mo1 0.5040 0.5040 0.5040
Mo2 0.7479 0.7479 0.7479
Se1 0.2496 0.2496 0.2496

Computed properties:
The final energy is -37.742 eV for the cell shown. As for the spin magnetization: 0.0 μB/f.u. As for the uncorrected formation energy: 0.23 eV per atom. The calculation puts the volume at 15.2 Å³ per atom.

An optimized crystal structure of TcMo2Se. Source: the Alexandria database, functional GGA-PBEsol.

Cell: 3.6359 3.6359 4.5461 Å, 90.00 90.00 90.00°
Fractional coordinates of all 4 atoms:
Tc1 0.0000 0.0000 0.0000
Mo1 0.0000 0.5000 0.5000
Mo2 0.5000 0.0000 0.5000
Se1 0.5000 0.5000 0.0000

Computed properties:
The final energy is -36.874 eV for the cell shown. As for the spin magnetization: 0.0 μB/f.u. As for the uncorrected formation energy: 0.44 eV per atom. The calculation puts the volume at 15.0 Å³ per atom.

An optimized crystal structure of TcMo2Se. Source: the Alexandria database, functional GGA-PBEsol.

Cell: 4.4684 4.4684 2.9786 Å, 90.00 90.00 90.00°
Fractional coordinates of all 4 atoms:
Tc1 0.0000 0.0000 0.0000
Mo1 0.0000 0.5000 0.5000
Mo2 0.5000 0.0000 0.5000
Se1 0.5000 0.5000 0.0000

Computed properties:
The final energy is -37.769 eV for the cell shown. As for the spin magnetization: 0.0 μB/f.u. As for the uncorrected formation energy: 0.22 eV per atom. The calculation puts the volume at 14.9 Å³ per atom.

An optimized crystal structure of TcMo2Se. Source: the Alexandria database, functional GGA-PBEsol.

Cell: 2.7747 2.7747 8.6508 Å, 90.00 90.00 111.50°
Fractional coordinates of all 4 atoms:
Tc1 0.0000 0.0000 0.0000
Mo1 0.0000 0.0000 0.5161
Mo2 0.5000 0.5000 0.7638
Se1 0.5000 0.5000 0.2630

Computed properties:
The final energy is -37.211 eV for the cell shown. As for the spin magnetization: 0.0 μB/f.u. As for the uncorrected formation energy: 0.36 eV per atom. The calculation puts the volume at 15.5 Å³ per atom.

An optimized crystal structure of TcMo2Se. Source: the Alexandria database, functional GGA-PBEsol.

Cell: 4.7473 4.7473 4.6164 Å, 104.28 104.28 36.83°
Fractional coordinates of all 4 atoms:
Tc1 0.0000 0.0000 0.0000
Mo1 0.2658 0.2658 0.8733
Mo2 0.4865 0.4865 0.4839
Se1 0.7489 0.7489 0.3504

Computed properties:
The final energy is -38.124 eV for the cell shown. As for the spin magnetization: 0.0 μB/f.u. As for the uncorrected formation energy: 0.13 eV per atom. The calculation puts the volume at 15.1 Å³ per atom.